Record 1
PBE ReMoSCl2, optimized geometry; electronic total energy = -5.226 eV/atom; mass density = 5.53 Mg/m³; energy above the lowest structure with this stoichiometry = 125 meV/atom
1.0
4.983 0.000 0.000
0.000 4.983 0.000
0.000 0.000 4.655
Re Mo S Cl
1 1 1 2
direct
0.000 0.000 0.000
0.500 0.500 0.500
0.500 0.500 0.000
0.000 0.500 0.500
0.500 0.000 0.500

=====

Record 2
PBE ReSb2MoCl, optimized geometry; electronic total energy = -5.778 eV/atom; mass density = 6.94 Mg/m³
1.0
5.137 0.000 0.000
0.000 5.137 0.000
0.000 0.000 5.088
Re Sb Mo Cl
1 2 1 1
direct
0.000 0.000 0.000
0.000 0.500 0.000
0.500 0.000 0.000
0.000 0.000 0.500
0.500 0.500 0.500

=====

Record 3
PBE Re2TcMoCl, optimized geometry; electronic total energy = -7.234 eV/atom; mass density = 9.08 Mg/m³
1.0
4.795 0.000 0.000
0.000 4.795 0.000
0.000 0.000 4.789
Re Tc Mo Cl
2 1 1 1
direct
0.000 0.500 0.000
0.500 0.000 0.000
0.000 0.000 0.500
0.000 0.000 0.000
0.500 0.500 0.500

=====

Record 4
PBE ZrReMo2Cl, optimized geometry; electronic total energy = -7.511 eV/atom; mass density = 7.91 Mg/m³
1.0
4.854 0.000 0.000
0.000 4.854 0.000
0.000 0.000 4.500
Zr Re Mo Cl
1 1 2 1
direct
0.000 0.000 0.000
0.500 0.500 0.500
0.000 0.500 0.500
0.500 0.000 0.500
0.500 0.500 0.000

=====

Record 5
PBE MoRh2Cl, optimized geometry; electronic total energy = -6.248 eV/atom; mass density = 9.18 Mg/m³; energy above the lowest structure with this stoichiometry = 529 meV/atom
1.0
2.725 -3.988 0.000
2.725 3.988 0.000
0.000 0.000 2.808
Mo Rh Cl
1 2 1
direct
0.000 0.000 0.000
0.000 0.500 0.500
0.500 0.000 0.500
0.500 0.500 0.000

=====

Record 6
PBE MoRh2Cl, optimized geometry; electronic total energy = -5.981 eV/atom; mass density = 9.06 Mg/m³; energy above the lowest structure with this stoichiometry = 796 meV/atom
1.0
3.918 0.000 0.000
0.000 3.918 0.000
0.000 0.000 4.025
Mo Rh Cl
1 2 1
direct
0.000 0.000 0.000
0.000 0.500 0.500
0.500 0.000 0.500
0.500 0.500 0.000